Entry from Alexandria via LeMat-Bulk: ScTiPd6 after structural relaxation (PBE).

Cell and atoms, written as extended XYZ:
```
8
Lattice="-3.952 -0.246 0.185 0.299 -3.641 1.539 0.149 3.098 7.300" Properties=species:S:1:pos:R:3 pbc="T T T"
Pd -1.938 0.676 1.976
Pd 0.188 -1.021 2.653
Pd -1.752 -0.395 4.512
Pd -1.827 -1.944 0.862
Pd -1.866 2.176 5.509
Pd 0.260 0.478 6.186
Sc 0.000 0.000 0.000
Ti 0.074 1.549 3.650
```

symmetry	No. 123
ΔE_f	-0.756	eV/atom
total magnetic moment	0.0000	μB per atom
total DFT energy (no corrections)	-6.429	eV per atom
V	124.7	Å³ per cell

***

Entry from Alexandria via LeMat-Bulk: ScTi3Pd after structural relaxation (PBE).

Cell and atoms, written as extended XYZ:
```
5
Lattice="-0.432 4.479 -0.885 -4.525 -0.539 -0.514 -0.606 0.825 4.471" Properties=species:S:1:pos:R:3 pbc="T T T"
Ti -2.263 -0.269 -0.257
Ti -0.303 0.413 2.235
Ti -0.216 2.240 -0.443
Pd -2.782 2.383 1.536
Sc 0.000 0.000 0.000
```

symmetry	No. 221
E above lowest polymorph	680	meV per atom
ΔE_f	1.135	eV/atom
total magnetic moment	0.1249	μB per atom
total DFT energy (no corrections)	-5.907	eV per atom
V	96.5	Å³ per cell

***

Entry from Alexandria via LeMat-Bulk: Sc2TiPd after structural relaxation (PBE).

Cell and atoms, written as extended XYZ:
```
4
Lattice="-1.984 -1.879 1.819 -1.156 -1.418 -2.726 5.111 -4.984 0.426" Properties=species:S:1:pos:R:3 pbc="T T T"
Sc 3.934 -3.836 0.328
Sc 1.177 -1.148 0.098
Ti 0.986 -4.141 -0.240
Pd -1.570 -1.649 -0.454
```

symmetry	No. 123
ΔE_f	-0.376	eV/atom
total magnetic moment	0.0003	μB per atom
total DFT energy (no corrections)	-6.814	eV per atom
V	77.1	Å³ per cell

***

Entry from Alexandria via LeMat-Bulk: ScTi3Pd7 after structural relaxation (PBE).

Cell and atoms, written as extended XYZ:
```
11
Lattice="-2.740 3.954 1.604 -3.069 -4.824 -4.102 1.180 -5.341 4.428" Properties=species:S:1:pos:R:3 pbc="T T T"
Pd -3.501 -5.519 1.410
Pd -4.280 -4.103 -1.061
Pd -1.936 -4.388 3.643
Pd -2.692 -1.824 -1.714
Pd -1.127 -0.693 0.520
Pd -0.348 -2.109 2.990
Pd -0.944 -5.083 0.163
Ti -2.100 -4.942 -2.157
Ti -1.370 1.977 0.802
Ti 0.211 -5.223 2.482
Sc -2.314 -3.106 0.965
```

symmetry	No. 12
ΔE_f	-0.438	eV/atom
total magnetic moment	0.0000	μB per atom
total DFT energy (no corrections)	-6.472	eV per atom
V	188.5	Å³ per cell

***

Entry from Alexandria via LeMat-Bulk: ScTiPd3 after structural relaxation (PBE).

Cell and atoms, written as extended XYZ:
```
5
Lattice="-3.051 -3.520 -0.020 3.279 -2.832 -1.711 1.281 -1.134 4.333" Properties=species:S:1:pos:R:3 pbc="T T T"
Pd 0.640 -0.567 2.167
Pd -1.526 -1.760 -0.010
Pd 1.640 -1.416 -0.855
Ti 0.000 0.000 0.000
Sc 0.755 -3.744 1.301
```

symmetry	No. 221
E above lowest polymorph	547	meV per atom
ΔE_f	0.032	eV/atom
total magnetic moment	0.0000	μB per atom
total DFT energy (no corrections)	-5.929	eV per atom
V	101.1	Å³ per cell

***

Entry from Alexandria via LeMat-Bulk: Sc4TiPd2 after structural relaxation (PBE).

Cell and atoms, written as extended XYZ:
```
7
Lattice="4.791 0.000 0.000 0.000 4.791 0.000 2.395 2.395 6.764" Properties=species:S:1:pos:R:3 pbc="T T T"
Pd 4.791 4.791 5.172
Pd 2.395 2.395 1.592
Sc 2.395 2.395 4.139
Sc 4.791 4.791 2.625
Sc 2.395 0.000 0.000
Sc 0.000 2.395 0.000
Ti 0.000 0.000 0.000
```

symmetry	No. 139
ΔE_f	0.151	eV/atom
total magnetic moment	0.1180	μB per atom
total DFT energy (no corrections)	-6.078	eV per atom
V	155.3	Å³ per cell

***

Entry from Alexandria via LeMat-Bulk: Sc2TiPd8 after structural relaxation (PBE).

Cell and atoms, written as extended XYZ:
```
11
Lattice="4.060 0.000 0.000 0.000 6.443 0.240 -2.030 -2.447 6.691" Properties=species:S:1:pos:R:3 pbc="T T T"
Ti 2.030 0.000 0.000
Sc 0.000 3.204 3.094
Sc 2.030 0.792 3.837
Pd 2.030 2.391 1.384
Pd 0.000 -1.021 4.371
Pd 2.030 -0.499 6.238
Pd 0.000 1.606 5.546
Pd 0.000 4.495 0.692
Pd 2.030 5.017 2.560
Pd 2.030 3.508 5.011
Pd 0.000 0.488 1.920
```

symmetry	No. 12
ΔE_f	-0.688	eV/atom
total magnetic moment	0.0000	μB per atom
total DFT energy (no corrections)	-6.334	eV per atom
V	177.4	Å³ per cell

***

Entry from Alexandria via LeMat-Bulk: ScTi2Pd5 after structural relaxation (PBE).

Cell and atoms, written as extended XYZ:
```
16
Lattice="4.074 0.000 0.000 0.000 5.587 0.000 0.000 0.000 11.299" Properties=species:S:1:pos:R:3 pbc="T T T"
Pd 2.037 4.019 9.982
Pd 0.000 5.420 8.454
Pd 2.037 1.569 1.317
Pd 2.037 1.225 6.967
Pd 0.000 0.167 2.846
Pd 0.000 2.961 2.804
Pd 0.000 2.794 5.650
Pd 2.037 4.363 4.333
Pd 0.000 0.000 0.000
Pd 0.000 2.627 8.496
Ti 2.037 4.495 1.632
Ti 2.037 1.701 4.017
Ti 2.037 3.886 7.282
Ti 2.037 1.092 9.667
Sc 0.000 0.000 5.650
Sc 0.000 2.794 0.000
```

symmetry	No. 55
ΔE_f	-0.603	eV/atom
total magnetic moment	0.0000	μB per atom
total DFT energy (no corrections)	-6.613	eV per atom
V	257.2	Å³ per cell

***

Entry from Alexandria via LeMat-Bulk: ScTiPd2 after structural relaxation (PBE).

Cell and atoms, written as extended XYZ:
```
4
Lattice="-1.459 -1.176 -2.529 -2.401 -0.922 1.814 -3.100 6.056 -1.026" Properties=species:S:1:pos:R:3 pbc="T T T"
Sc -1.930 -1.049 -0.357
Pd -0.837 1.635 -0.277
Pd -2.263 4.421 -0.749
Ti -3.480 1.980 -0.870
```

symmetry	No. 123
ΔE_f	-0.669	eV/atom
total magnetic moment	0.1025	μB per atom
total DFT energy (no corrections)	-6.822	eV per atom
V	68.2	Å³ per cell

***

Entry from Alexandria via LeMat-Bulk: Sc2TiPd after structural relaxation (PBE).

Cell and atoms, written as extended XYZ:
```
4
Lattice="1.776 0.000 9.793 -0.888 1.538 9.793 -0.888 -1.538 9.793" Properties=species:S:1:pos:R:3 pbc="T T T"
Ti 0.000 0.000 0.000
Sc 0.000 0.000 26.662
Sc 0.000 0.000 2.718
Pd 0.000 0.000 14.690
```

symmetry	No. 166
ΔE_f	0.003	eV/atom
total magnetic moment	0.3850	μB per atom
total DFT energy (no corrections)	-6.435	eV per atom
V	80.2	Å³ per cell

***

Entry from Alexandria via LeMat-Bulk: ScTiPd2 after structural relaxation (PBE).

Cell and atoms, written as extended XYZ:
```
4
Lattice="2.974 0.000 0.000 0.000 4.772 0.000 0.000 0.000 4.772" Properties=species:S:1:pos:R:3 pbc="T T T"
Ti 1.487 0.000 0.000
Pd 0.000 2.386 0.000
Pd 0.000 0.000 2.386
Sc 1.487 2.386 2.386
```

symmetry	No. 123
ΔE_f	-0.653	eV/atom
total magnetic moment	0.0011	μB per atom
total DFT energy (no corrections)	-6.806	eV per atom
V	67.7	Å³ per cell

***

Entry from Alexandria via LeMat-Bulk: Sc2TiPd after structural relaxation (PBE).

Cell and atoms, written as extended XYZ:
```
4
Lattice="3.436 0.000 0.000 0.000 4.719 0.000 0.000 0.000 4.719" Properties=species:S:1:pos:R:3 pbc="T T T"
Pd 1.718 2.360 2.360
Sc 0.000 2.360 0.000
Sc 0.000 0.000 2.360
Ti 1.718 0.000 0.000
```

symmetry	No. 123
ΔE_f	-0.315	eV/atom
total magnetic moment	0.4835	μB per atom
total DFT energy (no corrections)	-6.753	eV per atom
V	76.5	Å³ per cell

***

Entry from Alexandria via LeMat-Bulk: ScTi3Pd after structural relaxation (PBE).

Cell and atoms, written as extended XYZ:
```
5
Lattice="4.795 0.000 0.000 0.000 4.795 0.000 0.000 0.000 4.795" Properties=species:S:1:pos:R:3 pbc="T T T"
Sc 2.397 2.397 2.397
Ti 0.000 2.397 0.000
Ti 0.000 0.000 2.397
Ti 2.397 0.000 0.000
Pd 0.000 0.000 0.000
```

symmetry	No. 221
E above lowest polymorph	0	meV per atom
ΔE_f	0.455	eV/atom
total magnetic moment	0.0001	μB per atom
total DFT energy (no corrections)	-6.587	eV per atom
V	110.2	Å³ per cell

***

Entry from Alexandria via LeMat-Bulk: Sc2Ti2Pd after structural relaxation (PBE).

Cell and atoms, written as extended XYZ:
```
10
Lattice="-4.586 -2.528 -3.930 3.260 -5.676 -0.153 -2.372 -1.462 3.709" Properties=species:S:1:pos:R:3 pbc="T T T"
Ti 0.533 -2.398 -0.604
Ti 1.152 -5.794 -1.547
Ti -1.860 -5.806 -3.478
Ti -2.479 -2.411 -2.535
Sc -3.925 -4.752 -1.483
Sc -1.506 -7.155 -0.883
Sc 0.227 -4.914 1.109
Sc -2.193 -2.511 0.509
Pd -0.663 -4.102 -2.041
Pd 0.000 0.000 0.000
```

symmetry	No. 127
ΔE_f	-0.111	eV/atom
total magnetic moment	0.0285	μB per atom
total DFT energy (no corrections)	-6.840	eV per atom
V	198.9	Å³ per cell

***

Entry from Alexandria via LeMat-Bulk: ScTiPd3 after structural relaxation (PBE).

Cell and atoms, written as extended XYZ:
```
20
Lattice="7.404 0.000 0.000 0.000 6.517 0.000 0.000 0.000 7.242" Properties=species:S:1:pos:R:3 pbc="T T T"
Ti 0.000 3.259 3.621
Ti 0.000 3.259 0.000
Ti 3.702 0.000 0.000
Ti 3.702 0.000 3.621
Sc 4.773 2.761 1.810
Sc 2.631 3.756 5.431
Sc 1.071 0.497 1.810
Sc 6.333 6.020 5.431
Pd 2.485 2.276 3.217
Pd 1.217 5.535 6.838
Pd 4.919 4.241 4.024
Pd 4.919 4.241 6.838
Pd 2.485 2.276 0.404
Pd 6.491 5.008 1.810
Pd 2.789 4.768 1.810
Pd 1.217 5.535 4.024
Pd 6.187 0.983 0.404
Pd 0.913 1.509 5.431
Pd 4.615 1.749 5.431
Pd 6.187 0.983 3.217
```

symmetry	No. 62
E above lowest polymorph	0	meV per atom
ΔE_f	-0.514	eV/atom
total magnetic moment	0.0001	μB per atom
total DFT energy (no corrections)	-6.475	eV per atom
V	349.4	Å³ per cell

***

Entry from Alexandria via LeMat-Bulk: ScTi2Pd4 after structural relaxation (PBE).

Cell and atoms, written as extended XYZ:
```
7
Lattice="3.417 0.000 0.000 0.000 5.851 -1.157 0.000 0.733 5.920" Properties=species:S:1:pos:R:3 pbc="T T T"
Ti 0.000 4.850 0.227
Ti 0.000 1.734 4.535
Pd 1.708 2.926 -0.579
Pd 1.708 0.367 2.960
Pd 0.000 1.567 1.134
Pd 0.000 5.017 3.629
Sc 1.708 3.292 2.381
```

symmetry	No. 65
ΔE_f	-0.426	eV/atom
total magnetic moment	0.0001	μB per atom
total DFT energy (no corrections)	-6.553	eV per atom
V	121.2	Å³ per cell

***

Entry from Alexandria via LeMat-Bulk: Sc4TiPd5 after structural relaxation (PBE).

Cell and atoms, written as extended XYZ:
```
10
Lattice="-2.148 -1.893 -1.520 1.012 -2.543 1.737 -11.466 3.513 11.827" Properties=species:S:1:pos:R:3 pbc="T T T"
Pd -3.976 -1.174 3.624
Pd -8.626 0.251 8.420
Pd -6.301 -0.461 6.022
Pd -10.992 0.976 10.861
Pd -1.610 -1.899 1.183
Sc -9.233 2.829 9.523
Sc -4.566 1.399 4.709
Sc -6.900 2.114 7.117
Sc -2.233 0.684 2.303
Ti 0.000 0.000 0.000
```

symmetry	No. 123
ΔE_f	-0.802	eV/atom
total magnetic moment	0.0859	μB per atom
total DFT energy (no corrections)	-6.721	eV per atom
V	177.0	Å³ per cell

***

Entry from Alexandria via LeMat-Bulk: ScTiTlPd after structural relaxation (PBE).

Cell and atoms, written as extended XYZ:
```
4
Lattice="4.786 0.000 0.000 2.393 4.144 0.000 2.393 1.381 3.907" Properties=species:S:1:pos:R:3 pbc="T T T"
Tl 0.000 0.000 0.000
Sc 7.178 4.144 2.931
Pd 4.786 2.763 1.954
Ti 2.393 1.381 0.977
```

symmetry	No. 216
ΔE_f	-0.287	eV/atom
total magnetic moment	0.3458	μB per atom
total DFT energy (no corrections)	-5.733	eV per atom
V	77.5	Å³ per cell

***

Entry from Alexandria via LeMat-Bulk: ScTiPdW2 after structural relaxation (PBE).

Cell and atoms, written as extended XYZ:
```
5
Lattice="-3.394 0.475 -3.050 -2.938 -1.618 3.017 -0.777 4.256 1.527" Properties=species:S:1:pos:R:3 pbc="T T T"
Pd -3.554 1.556 0.747
W -0.388 2.128 0.763
W -1.697 0.237 -1.525
Sc 0.000 0.000 0.000
Ti -1.469 -0.809 1.508
```

symmetry	No. 123
ΔE_f	1.964	eV/atom
total magnetic moment	0.0080	μB per atom
total DFT energy (no corrections)	-7.101	eV per atom
V	94.9	Å³ per cell

***

Entry from Alexandria via LeMat-Bulk: ScTiZnPd after structural relaxation (PBE).

Cell and atoms, written as extended XYZ:
```
4
Lattice="4.599 0.000 0.000 2.299 3.983 0.000 2.299 1.328 3.755" Properties=species:S:1:pos:R:3 pbc="T T T"
Ti 2.299 1.328 0.939
Pd 0.000 0.000 0.000
Zn 4.599 2.655 1.877
Sc 6.898 3.983 2.816
```

symmetry	No. 216
ΔE_f	-0.417	eV/atom
total magnetic moment	0.2167	μB per atom
total DFT energy (no corrections)	-5.590	eV per atom
V	68.8	Å³ per cell